[1]
# ScBrCl

ScBrCl after structural relaxation (PBE, the Alexandria database).

Values from the calculation:
E_form (uncorrected) = -1699 meV per atom
D(E_F) = 3.7 states/eV per cell
density = 3.2 Mg/m³

Geometry as POSCAR:
```
ScBrCl
1.0
3.6683 -0.0011 0.0031
0.0012 6.3178 0.3614
1.7861 2.7081 7.2750
Cl Br Sc
2 2 2
Direct
0.3537 0.0213 0.2877 Cl
0.6463 0.9787 0.7123 Cl
0.8681 0.5357 0.2580 Br
0.1319 0.4643 0.7420 Br
0.2502 0.2496 0.4996 Sc
0.7498 0.7504 0.5004 Sc
```


[2]
# CaZnN2F

CaZnN2F after structural relaxation (PBE, the Alexandria database).

Values from the calculation:
E_form (uncorrected) = 522 meV per atom
D(E_F) = 3.0 states/eV per cell
density = 2.6 Mg/m³

Geometry as POSCAR:
```
CaZnN2F
1.0
4.7478 0.0000 0.0000
0.0000 4.7478 0.0000
0.0000 0.0000 4.2493
F Zn N Ca
1 1 2 1
Direct
0.0000 0.0000 0.5000 F
0.5000 0.5000 0.5000 Zn
0.0000 0.5000 0.0000 N
0.5000 0.0000 0.0000 N
0.0000 0.0000 0.0000 Ca
```


[3]
# NdHo3Th2Sb6

NdHo3Th2Sb6 after structural relaxation (PBE, the Alexandria database).

Values from the calculation:
E_form (uncorrected) = -1065 meV per atom
D(E_F) = 4.5 states/eV per cell
density = 8.2 Mg/m³

Geometry as POSCAR:
```
NdHo3Th2Sb6
1.0
4.4511 0.0000 0.0000
0.0000 8.8551 0.3393
-2.2255 -2.5275 9.3283
Sb Ho Th Nd
6 3 2 1
Direct
0.6649 0.5885 0.3298 Sb
0.9979 0.2563 0.9958 Sb
0.0021 0.7437 0.0042 Sb
0.3307 0.9222 0.6615 Sb
0.3351 0.4115 0.6702 Sb
0.6693 0.0778 0.3385 Sb
0.5000 0.5000 0.0000 Ho
0.8342 0.1665 0.6685 Ho
0.1658 0.8335 0.3315 Ho
0.1655 0.3311 0.3310 Th
0.8345 0.6689 0.6690 Th
0.5000 0.0000 0.0000 Nd
```


[4]
# ZrReIrOs2

ZrReIrOs2 after structural relaxation (PBE, the Alexandria database).

Values from the calculation:
D(E_F) = 5.1 states/eV per cell
density = 13.6 Mg/m³
ΔH_f (0 K) = 1.406 eV/atom

Geometry as POSCAR:
```
ZrReIrOs2
1.0
-2.8075 2.9521 -2.3262
-3.5627 -3.0711 0.4023
-1.2617 1.9947 4.0542
Ir Os Zr Re
1 2 1 1
Direct
0.0000 0.5000 0.0000 Ir
0.0000 0.0000 0.5000 Os
0.5000 0.0000 0.0000 Os
0.5000 0.5000 0.5000 Zr
0.0000 0.0000 0.0000 Re
```


[5]
# Hf8Pt2C3

Hf8Pt2C3 after structural relaxation (PBE, the Alexandria database).

Values from the calculation:
D(E_F) = 7.7 states/eV per cell
density = 12.8 Mg/m³
ΔH_f (0 K) = -0.612 eV/atom

Geometry as POSCAR:
```
Hf8Pt2C3
1.0
5.9270 0.0000 0.2006
0.0000 6.6208 0.0000
-2.1656 -3.3104 6.0568
C Hf Pt
3 8 2
Direct
0.5000 0.0000 0.0000 C
0.0000 0.7591 0.0000 C
0.0000 0.2409 0.0000 C
0.8990 0.1016 0.2032 Hf
0.0497 0.3924 0.7847 Hf
0.6088 0.1397 0.7966 Hf
0.6088 0.6569 0.7966 Hf
0.3912 0.3431 0.2034 Hf
0.1010 0.8984 0.7968 Hf
0.3912 0.8603 0.2034 Hf
0.9503 0.6076 0.2153 Hf
0.6819 0.7391 0.4782 Pt
0.3181 0.2609 0.5218 Pt
```


[6]
# Ca2AlRu

Ca2AlRu after structural relaxation (PBE, the Alexandria database).

Values from the calculation:
D(E_F) = 3.0 states/eV per cell
density = 3.1 Mg/m³
ΔH_f (0 K) = -0.195 eV/atom

Geometry as POSCAR:
```
Ca2AlRu
1.0
-0.9556 4.1431 0.4769
-1.4198 2.2655 -3.3403
-7.4452 0.4116 0.7029
Ru Al Ca
1 1 2
Direct
0.5419 0.5419 0.3742 Ru
0.2082 0.2082 0.3756 Al
0.9641 0.9641 0.1075 Ca
0.7858 0.7858 0.6427 Ca
```


[7]
# GeBSe4

GeBSe4 after structural relaxation (PBE, the Alexandria database).

Values from the calculation:
E_form (uncorrected) = -120 meV per atom
D(E_F) = 6.0 states/eV per cell
density = 4.2 Mg/m³

Geometry as POSCAR:
```
GeBSe4
1.0
4.8590 0.4345 -0.0052
-0.4362 4.8592 0.0061
-2.2271 -2.6313 13.4023
Se Ge B
8 2 2
Direct
0.4539 0.6533 0.8569 Se
0.1033 0.7896 0.1431 Se
0.6530 0.8941 0.3551 Se
0.7895 0.5483 0.6449 Se
0.8967 0.2104 0.8569 Se
0.5461 0.3467 0.1431 Se
0.2105 0.4517 0.3551 Se
0.3470 0.1059 0.6449 Se
0.1216 0.8796 0.7508 Ge
0.8784 0.1204 0.2492 Ge
0.3783 0.6204 0.2490 B
0.6217 0.3796 0.7510 B
```


[8]
# AcSc2Pt

AcSc2Pt after structural relaxation (PBE, the Alexandria database).

Values from the calculation:
D(E_F) = 3.6 states/eV per cell
density = 7.5 Mg/m³
ΔH_f (0 K) = -0.531 eV/atom

Geometry as POSCAR:
```
AcSc2Pt
1.0
4.5713 0.0000 0.0000
2.2856 3.9589 0.0000
2.2856 1.3196 6.2865
Sc Ac Pt
2 1 1
Direct
0.0415 0.0415 0.8756 Sc
0.2904 0.2904 0.1288 Sc
0.4971 0.4971 0.5088 Ac
0.6711 0.6711 0.9868 Pt
```


Result set for magnetic moment: 0.00 3.55 0.00 0.00 0.00 0.00 0.00 0.00 μB per formula unit, one per record in the order listed.